Record 1
VASP calculation (PBE) on a relaxed Al2AgW crystal.

The structure belongs to space group R-3m (No. 166, hexagonal axes); the cell edges are 2.8720, 2.8720 and 27.1850 Å and the angles 90.00°, 90.00° and 120.00°. The asymmetric unit holds Al at (0.0000, 0.0000, 0.2483), Ag at (0.0000, 0.0000, 0.0000) and W at (0.0000, 0.0000, 0.5000).

The calculation puts the energy above the most stable polymorph in this dataset at 0.0 meV/atom. The value obtained for the spin magnetization is 0.0 μB per formula unit.


Record 2
VASP calculation (PBE) on a relaxed Tb4Ag5Pb crystal.

The structure belongs to space group P4/mmm (No. 123); the cell edges are 3.7085, 3.7085 and 17.6132 Å and the angles 90.00°, 90.00° and 90.00°. The asymmetric unit holds Tb at (0.0000, 0.0000, 0.1030), Tb at (0.0000, 0.0000, 0.3062), Ag at (0.5000, 0.5000, 0.0000), Ag at (0.5000, 0.5000, 0.2061), Ag at (0.5000, 0.5000, 0.3977) and Pb at (0.0000, 0.0000, 0.5000).

The value obtained for the spin magnetization is 0.0 μB per formula unit.


| no. | E_form (meV/atom) |
| --- | --- |
| 1 | 11 |
| 2 | -264 |